Compound: Na2Ac2MnO6
Source: Alexandria via LeMat-Bulk
Functional: GGA+U
Structure: optimized geometry

## Properties
- DFT total energy (eV/atom) = -6.5557
- volume (Å³ per cell) = 190.3

Unit cell a=6.163 b=6.163 c=5.867 alpha=95.51 beta=95.51 gamma=119.53
Fractional coordinates of all 11 atoms:
Na 0.123 0.877 0.000
Na 0.877 0.123 0.000
Ac 0.338 0.662 0.500
Ac 0.662 0.338 0.500
Mn 0.000 0.000 0.500
O 0.028 0.312 0.684
O 0.223 0.223 0.301
O 0.312 0.028 0.684
O 0.688 0.972 0.316
O 0.777 0.777 0.699
O 0.972 0.688 0.316